Here is a relaxed structure of Nd4NiSI2 from Alexandria via LeMat-Bulk. Energies are from GGA-PBE.

Geometry as POSCAR:
```
Nd4NiSI2
1.0
7.3815 0.0000 0.0000
0.0000 4.0604 0.0000
-2.3577 0.0000 7.8219
Nd Ni S I
4 1 1 2
Cartesian
1.1255 0.0000 1.4673
0.1056 2.0302 6.3208
4.9183 2.0302 1.5011
3.8983 0.0000 6.3546
0.0000 2.0302 0.0000
3.6908 0.0000 0.0000
-1.1789 0.0000 3.9110
2.5119 2.0302 3.9110
```

Summary:
- ΔE_f (raw) (kJ/mol of atoms) = -104
- total DFT energy (no corrections) (eV per atom) = -5.083
- ρ (g cm⁻³) = 6.5
- total magnetization (μB per cell) = 0.0

Here is a relaxed structure of KLiMg2Cu from Alexandria via LeMat-Bulk. Energies are from GGA-PBE.

Geometry as POSCAR:
```
KLiMg2Cu
1.0
5.1075 0.0000 0.0000
0.0000 5.1075 0.0000
0.0000 0.0000 5.2558
K Li Mg Cu
1 1 2 1
Cartesian
0.0000 0.0000 0.0000
2.5537 2.5537 0.0000
0.0000 2.5537 2.6279
2.5537 0.0000 2.6279
2.5537 2.5537 2.6279
```

Summary:
- total DFT energy (no corrections) (eV per atom) = -1.936
- ρ (g cm⁻³) = 1.9
- total magnetization (μB per cell) = 0.0
- DFT formation energy (eV/atom) = 0.123

Here is a relaxed structure of NpTcRu2 from Alexandria via LeMat-Bulk. Energies are from GGA-PBE.

Geometry as POSCAR:
```
NpTcRu2
1.0
2.7535 0.0000 0.0000
-1.3768 2.3846 0.0000
0.0000 0.0000 28.7480
Np Tc Ru
3 3 6
Cartesian
0.0000 0.0000 0.0000
0.0000 1.5897 19.1653
1.3768 0.7949 9.5827
0.0000 0.0000 14.3740
0.0000 1.5897 4.7913
1.3768 0.7949 23.9567
0.0000 0.0000 6.9476
0.0000 0.0000 21.8004
0.0000 1.5897 12.2178
0.0000 1.5897 26.1129
1.3768 0.7949 2.6351
1.3768 0.7949 16.5302
```

Summary:
- total DFT energy (no corrections) (eV per atom) = -10.283
- ρ (g cm⁻³) = 14.2
- ΔE to the lowest computed polymorph (eV/atom) = 0.2011
- total magnetization (μB per cell) = 7.8
- DFT formation energy (eV/atom) = 0.181

Here is a relaxed structure of Ho3Rh2 from Alexandria via LeMat-Bulk. Energies are from GGA-PBE.

Geometry as POSCAR:
```
Ho3Rh2
1.0
2.1246 -5.5461 0.0000
2.1246 5.5461 0.0000
0.0000 0.0000 10.0018
Ho Rh
6 4
Cartesian
2.1246 4.5250 7.5014
2.1246 1.6324 5.6675
2.1246 1.6324 9.3353
2.1246 -1.6324 0.6666
2.1246 -1.6324 4.3343
2.1246 -4.5250 2.5005
0.0000 0.0000 0.0000
0.0000 0.0000 5.0009
2.1246 3.5502 2.5005
2.1246 -3.5502 7.5014
```

Summary:
- total DFT energy (no corrections) (eV per atom) = -6.409
- ρ (g cm⁻³) = 9.9
- ΔE to the lowest computed polymorph (eV/atom) = 0.0731
- total magnetization (μB per cell) = 0.0
- DFT formation energy (eV/atom) = -0.722

Here is a relaxed structure of HgAsPbSe2 from Alexandria via LeMat-Bulk. Energies are from GGA-PBE.

Geometry as POSCAR:
```
HgAsPbSe2
1.0
5.2956 0.0000 0.0000
0.0000 5.2956 0.0000
0.0000 0.0000 5.0667
Hg As Pb Se
1 1 1 2
Cartesian
0.0000 0.0000 0.0000
0.0000 0.0000 2.5334
2.6478 2.6478 0.0000
0.0000 2.6478 2.5334
2.6478 0.0000 2.5334
```

Summary:
- ΔE_f (raw) (kJ/mol of atoms) = 10
- total DFT energy (no corrections) (eV per atom) = -3.020
- ρ (g cm⁻³) = 7.5
- ΔE to the lowest computed polymorph (eV/atom) = 0.0000
- total magnetization (μB per cell) = 0.0

Here is a relaxed structure of HoEr2Sc from Alexandria via LeMat-Bulk. Energies are from GGA-PBE.

Geometry as POSCAR:
```
HoEr2Sc
1.0
3.4898 0.0000 0.0000
-1.7449 3.0222 0.0000
0.0000 0.0000 33.1567
Ho Er Sc
3 6 3
Cartesian
0.0000 0.0000 0.0000
0.0000 2.0148 22.1045
1.7449 1.0074 11.0522
0.0000 0.0000 8.2220
0.0000 0.0000 13.9091
0.0000 2.0148 2.8569
0.0000 2.0148 30.3264
1.7449 1.0074 19.2742
1.7449 1.0074 24.9614
0.0000 0.0000 27.6557
0.0000 2.0148 16.6034
1.7449 1.0074 5.5512
```

Summary:
- total DFT energy (no corrections) (eV per atom) = -4.977
- ρ (g cm⁻³) = 7.8
- ΔE to the lowest computed polymorph (eV/atom) = 0.0053
- total magnetization (μB per cell) = 0.0
- DFT formation energy (eV/atom) = 0.031

Here is a relaxed structure of PrSmErSc from Alexandria via LeMat-Bulk. Energies are from GGA-PBE.

Geometry as POSCAR:
```
PrSmErSc
1.0
3.8134 0.0000 0.0000
0.0000 5.6836 0.0000
0.0000 0.0000 11.5878
Pr Sm Er Sc
2 2 2 2
Cartesian
0.0000 0.0000 0.0000
1.9067 2.8418 5.7939
0.0000 2.8418 2.5952
1.9067 0.0000 8.3891
0.0000 0.0000 5.3348
1.9067 2.8418 11.1287
0.0000 2.8418 8.5050
1.9067 0.0000 2.7111
```

Summary:
- total DFT energy (no corrections) (eV per atom) = -4.999
- ρ (g cm⁻³) = 6.7
- ΔE to the lowest computed polymorph (eV/atom) = 0.0027
- total magnetization (μB per cell) = 0.0
- DFT formation energy (eV/atom) = 0.100

Here is a relaxed structure of GeTeN2Cl from Alexandria via LeMat-Bulk. Energies are from GGA-PBE.

Geometry as POSCAR:
```
GeTeN2Cl
1.0
4.1637 0.0000 0.0000
0.0000 4.1637 0.0000
0.0000 0.0000 5.0141
Ge Te N Cl
1 1 2 1
Cartesian
0.0000 0.0000 0.0000
2.0819 2.0819 0.0000
0.0000 2.0819 2.5070
2.0819 0.0000 2.5070
0.0000 0.0000 2.5070
```

Summary:
- ΔE_f (raw) (kJ/mol of atoms) = 192
- total DFT energy (no corrections) (eV per atom) = -3.264
- ρ (g cm⁻³) = 5.0
- ΔE to the lowest computed polymorph (eV/atom) = 0.7836
- total magnetization (μB per cell) = 1.6

Here is a relaxed structure of Sn2BiRh2 from Alexandria via LeMat-Bulk. Energies are from GGA-PBE.

Geometry as POSCAR:
```
Sn2BiRh2
1.0
4.6093 0.0000 0.0000
0.0000 4.6093 0.0000
0.0000 0.0000 10.5117
Sn Bi Rh
4 2 4
Cartesian
0.0000 0.0000 1.3898
0.0000 0.0000 9.1219
2.3047 2.3047 3.8661
2.3047 2.3047 6.6456
0.0000 0.0000 5.2558
2.3047 2.3047 0.0000
0.0000 2.3047 2.6279
0.0000 2.3047 7.8838
2.3047 0.0000 2.6279
2.3047 0.0000 7.8838
```

Summary:
- total DFT energy (no corrections) (eV per atom) = -5.429
- ρ (g cm⁻³) = 9.7
- ΔE to the lowest computed polymorph (eV/atom) = 0.1418
- total magnetization (μB per cell) = 0.0
- DFT formation energy (eV/atom) = -0.111

Here is a relaxed structure of Cd2CoNi from Alexandria via LeMat-Bulk. Energies are from GGA-PBE.

Geometry as POSCAR:
```
Cd2CoNi
1.0
2.9266 0.0000 0.0000
0.0000 2.9266 0.0000
0.0000 0.0000 7.4270
Cd Co Ni
2 1 1
Cartesian
0.0000 0.0000 0.0000
1.4633 1.4633 2.4689
0.0000 0.0000 4.3359
1.4633 1.4633 5.5998
```

Summary:
- total DFT energy (no corrections) (eV per atom) = -3.522
- ρ (g cm⁻³) = 8.9
- ΔE to the lowest computed polymorph (eV/atom) = 0.0000
- total magnetization (μB per cell) = 2.0
- DFT formation energy (eV/atom) = 0.157

Here is a relaxed structure of NaLi6Sn6 from Alexandria via LeMat-Bulk. Energies are from GGA-PBE.

Geometry as POSCAR:
```
NaLi6Sn6
1.0
2.9021 -5.7701 0.0000
2.9021 5.7701 0.0000
0.0000 0.0000 9.4070
Na Li Sn
1 6 6
Cartesian
0.0000 0.0000 0.0000
0.0000 0.0000 3.1380
0.0000 0.0000 6.2691
2.9021 1.8904 0.0000
2.9021 1.6850 4.7035
2.9021 -1.6850 4.7035
2.9021 -1.8904 0.0000
1.4510 2.8850 2.3768
1.4510 2.8850 7.0302
1.4510 -2.8850 2.3768
1.4510 -2.8850 7.0302
2.9021 0.0000 2.2772
2.9021 0.0000 7.1299
```

Summary:
- total DFT energy (no corrections) (eV per atom) = -3.037
- ρ (g cm⁻³) = 4.1
- total magnetization (μB per cell) = 0.0
- DFT formation energy (eV/atom) = -0.205

Here is a relaxed structure of Ho2TmPd3 from Alexandria via LeMat-Bulk. Energies are from GGA-PBE.

Geometry as POSCAR:
```
Ho2TmPd3
1.0
3.4840 0.0000 0.0000
0.0000 3.4840 0.0000
0.0000 0.0000 10.4417
Ho Tm Pd
2 1 3
Cartesian
0.0000 0.0000 1.7524
0.0000 0.0000 8.6893
0.0000 0.0000 5.2209
1.7420 1.7420 0.0000
1.7420 1.7420 3.5139
1.7420 1.7420 6.9278
```

Summary:
- total DFT energy (no corrections) (eV per atom) = -5.781
- ρ (g cm⁻³) = 10.7
- ΔE to the lowest computed polymorph (eV/atom) = 0.0058
- total magnetization (μB per cell) = 0.0
- DFT formation energy (eV/atom) = -0.913

Here is a relaxed structure of YGeSe3 from Alexandria via LeMat-Bulk. Energies are from GGA-PBE.

Geometry as POSCAR:
```
YGeSe3
1.0
5.4245 0.0000 0.0000
0.0000 5.4245 0.0000
0.0000 0.0000 5.4245
Y Ge Se
1 1 3
Cartesian
0.0000 0.0000 0.0000
2.7123 2.7123 2.7123
0.0000 0.0000 2.7123
0.0000 2.7123 0.0000
2.7123 0.0000 0.0000
```

Summary:
- ΔE_f (raw) (kJ/mol of atoms) = -23
- total DFT energy (no corrections) (eV per atom) = -4.543
- ρ (g cm⁻³) = 4.1
- ΔE to the lowest computed polymorph (eV/atom) = 0.7720
- total magnetization (μB per cell) = 0.0